Entry 1:
First-principles (GGA-PBE) data for crystalline Sc2MnCd at its relaxed geometry, as listed in the Alexandria database.

a = 5.8305 Å, b = 5.8305 Å, c = 5.8305 Å
α = 146.17°, β = 131.13°, γ = 60.76°
Sites, in units of the cell vectors:
Sc: 0.0000 0.0000 0.0000
Sc: 0.7183 0.2183 0.5000
Mn: 0.4821 0.4821 0.0000
Cd: 0.2602 0.7602 0.5000

Results
DFT total energy = -0.2086 hartree per atom



Entry 2:
First-principles (GGA-PBE) data for crystalline CaMoCl2 at its relaxed geometry, as listed in the Alexandria database.

a = 3.5154 Å, b = 3.5154 Å, c = 8.6780 Å
α = 90.00°, β = 90.00°, γ = 125.87°
Sites, in units of the cell vectors:
Ca: 0.0000 0.0000 0.0000
Mo: 0.0000 0.0000 0.5000
Cl: 0.5000 0.5000 0.2748
Cl: 0.5000 0.5000 0.7252

Results
Uncorrected formation energy = -0.17 eV/atom
Offset from the most stable computed form = 388 meV/atom
DFT total energy = -0.1579 hartree per atom



Entry 3:
First-principles (GGA-PBE) data for crystalline PuSc3As4 at its relaxed geometry, as listed in the Alexandria database.

a = 6.8150 Å, b = 7.8998 Å, c = 6.8464 Å
α = 90.00°, β = 109.53°, γ = 90.00°
Sites, in units of the cell vectors:
Pu: 0.0000 0.1278 0.2500
Pu: 0.0000 0.8722 0.7500
Sc: 0.0000 0.3769 0.7500
Sc: 0.0000 0.6231 0.2500
Sc: 0.5000 0.1291 0.7500
Sc: 0.5000 0.3766 0.2500
Sc: 0.5000 0.6234 0.7500
Sc: 0.5000 0.8709 0.2500
As: 0.2550 0.3809 0.5046
As: 0.2550 0.6191 0.0046
As: 0.2586 0.1289 0.9998
As: 0.2586 0.8711 0.4998
As: 0.7414 0.1289 0.5002
As: 0.7414 0.8711 0.0002
As: 0.7450 0.3809 0.9954
As: 0.7450 0.6191 0.4954

Results
Offset from the most stable computed form = 0 meV/atom
DFT total energy = -0.2852 hartree per atom



Entry 4:
First-principles (GGA-PBE) data for crystalline PrSm2YTm2 at its relaxed geometry, as listed in the Alexandria database.

a = 6.9762 Å, b = 16.3027 Å, c = 3.5236 Å
α = 90.00°, β = 90.00°, γ = 90.00°
Sites, in units of the cell vectors:
Pr: 0.0000 0.0000 0.0000
Pr: 0.5000 0.5000 0.5000
Sm: 0.2475 0.3383 0.0000
Sm: 0.2525 0.8383 0.5000
Sm: 0.7475 0.1617 0.5000
Sm: 0.7525 0.6617 0.0000
Y: 0.0000 0.5000 0.5000
Y: 0.5000 0.0000 0.0000
Tm: 0.2480 0.1536 0.5000
Tm: 0.2520 0.6536 0.0000
Tm: 0.7480 0.3464 0.0000
Tm: 0.7520 0.8464 0.5000

Results
DFT total energy = -0.1756 hartree per atom



Entry 5:
First-principles (GGA-PBE) data for crystalline Na2ZrOsC at its relaxed geometry, as listed in the Alexandria database.

a = 5.9187 Å, b = 5.9187 Å, c = 3.8980 Å
α = 90.00°, β = 90.00°, γ = 90.00°
Sites, in units of the cell vectors:
Na: 0.0000 0.5000 0.0000
Na: 0.5000 0.0000 0.0000
Zr: 0.0000 0.0000 0.0000
Os: 0.5000 0.5000 0.5000
C: 0.0000 0.0000 0.5000

Results
DFT total energy = -0.1527 hartree per atom



Entry 6:
First-principles (GGA-PBE) data for crystalline BeAuOF2 at its relaxed geometry, as listed in the Alexandria database.

a = 3.2118 Å, b = 3.2118 Å, c = 5.6398 Å
α = 90.00°, β = 90.00°, γ = 90.00°
Sites, in units of the cell vectors:
Be: 0.0000 0.0000 0.0000
Au: 0.5000 0.5000 0.5000
O: 0.0000 0.0000 0.5000
F: 0.0000 0.5000 0.0000
F: 0.5000 0.0000 0.0000

Results
Uncorrected formation energy = -1.47 eV/atom
Offset from the most stable computed form = 0 meV/atom
DFT total energy = -0.1696 hartree per atom



Entry 7:
First-principles (GGA-PBE) data for crystalline KInOs2 at its relaxed geometry, as listed in the Alexandria database.

a = 3.5178 Å, b = 3.5178 Å, c = 7.5183 Å
α = 90.00°, β = 90.00°, γ = 90.00°
Sites, in units of the cell vectors:
K: 0.0000 0.0000 0.0000
In: 0.0000 0.0000 0.5000
Os: 0.5000 0.5000 0.3380
Os: 0.5000 0.5000 0.6620

Results
DFT total energy = -0.1926 hartree per atom



Entry 8:
First-principles (GGA-PBE) data for crystalline Y3Mg2Tl at its relaxed geometry, as listed in the Alexandria database.

a = 3.8232 Å, b = 3.8232 Å, c = 11.2402 Å
α = 90.00°, β = 90.00°, γ = 90.00°
Sites, in units of the cell vectors:
Y: 0.0000 0.0000 0.0000
Y: 0.0000 0.0000 0.3316
Y: 0.0000 0.0000 0.6684
Mg: 0.5000 0.5000 0.1629
Mg: 0.5000 0.5000 0.8371
Tl: 0.5000 0.5000 0.5000

Results
Offset from the most stable computed form = 14 meV/atom
DFT total energy = -0.1606 hartree per atom